Density functional theory data (PBE) for TbPr6Y4 after structural relaxation.

Results
V   35.4 Å³/atom
Density   5.80 g/cm3
ΔH_f (0 K)   0.271 eV/atom
Total magnetic moment   0.00 μB/f.u.
DOS(E_F)   17.45 states/eV/cell

Cell: 10.0054 10.0054 10.0054 Å, 55.96 141.25 141.25°
Closest atoms and distances in Å follow each position.
Element x y z (fractional)
1 Y 0.6301 0.9911 0.9911  5 Pr 3.36-3.57, 1 Y 3.47, 1 Tb 3.56
2 Y 0.0000 0.6390 0.0089  5 Pr 3.36-3.57, 1 Y 3.47, 1 Tb 3.56
3 Y 0.3699 0.3610 0.3610  5 Pr 3.36-3.57, 1 Y 3.47, 1 Tb 3.56
4 Y 0.0000 0.0089 0.6390  5 Pr 3.36-3.57, 1 Y 3.47, 1 Tb 3.56
5 Pr 0.0000 0.4556 0.8118  3 Pr 3.34-3.40, 5 Y 3.36-3.57
6 Pr 0.6438 0.1882 0.1882  3 Pr 3.34-3.40, 5 Y 3.36-3.57
7 Pr 0.0000 0.8118 0.4556  3 Pr 3.34-3.40, 5 Y 3.36-3.57
8 Pr 0.5000 0.0000 0.5000  2 Tb 3.32, 4 Pr 3.40
9 Pr 0.5000 0.5000 0.0000  2 Tb 3.32, 4 Pr 3.40
10 Pr 0.3562 0.5444 0.5444  3 Pr 3.34-3.40, 5 Y 3.36-3.57
11 Tb 0.0000 0.0000 0.0000  4 Pr 3.32, 4 Y 3.56